A relaxed structure of ZnFe2Co. Source: Alexandria, functional GGA-PBEsol.

Results
Space-group type ... Cmm2 (35)
Total moment ... 1.545 μB per atom
DFT formation energy ... 0.04 eV/atom

```
ZnFe2Co
1.0
-2.1006 -0.0707 -1.2590
1.0704 -2.1990 -0.1454
-3.8610 -2.3139 6.5720
Zn Fe Co
1 2 1
Direct
0.0000 0.0000 0.4988 Zn
0.0000 0.0000 0.0014 Fe
0.5000 0.5000 0.7584 Fe
0.5000 0.5000 0.2414 Co
```



A relaxed structure of B. Source: Alexandria, functional GGA-PBEsol.

Results
Energy relative to the lowest polymorph listed for this composition ... 18 meV per atom
Space-group type ... R-3m (166)
Total moment ... 0.000 μB per atom
DFT formation energy ... 0.02 eV/atom

```
B
1.0
-4.4657 -5.9623 6.7807
6.3423 -5.4044 5.6601
0.8269 3.1355 9.5370
B
105
Direct
0.6842 0.3754 0.2003 B
0.2134 0.3812 0.3812 B
0.1990 0.5061 0.1990 B
0.8962 0.8962 0.5097 B
0.6154 0.4316 0.6154 B
0.6625 0.9957 0.9957 B
0.0043 0.3375 0.0043 B
0.4203 0.6360 0.9039 B
0.8342 0.4492 0.1047 B
0.7866 0.6188 0.6188 B
0.9970 0.8365 0.9970 B
0.5797 0.3640 0.0961 B
0.0961 0.5797 0.3640 B
0.0038 0.3477 0.1762 B
0.1047 0.4492 0.8342 B
0.1762 0.0038 0.3477 B
0.3158 0.7997 0.6246 B
0.6188 0.6188 0.7866 B
0.5061 0.1990 0.1990 B
0.3846 0.3846 0.5684 B
0.0038 0.1762 0.3477 B
0.9962 0.6523 0.8238 B
0.2003 0.6842 0.3754 B
0.2003 0.3754 0.6842 B
0.8010 0.4939 0.8010 B
0.3754 0.2003 0.6842 B
0.8342 0.1047 0.4492 B
0.1635 0.0030 0.0030 B
0.8238 0.6523 0.9962 B
0.1762 0.3477 0.0038 B
0.5000 0.5000 0.5000 B
0.0961 0.3640 0.5797 B
0.8010 0.8010 0.4939 B
0.9002 0.9002 0.1589 B
0.9962 0.8238 0.6523 B
0.3640 0.0961 0.5797 B
0.1589 0.9002 0.9002 B
0.2212 0.4895 0.4895 B
0.4316 0.6154 0.6154 B
0.1047 0.8342 0.4492 B
0.5105 0.7788 0.5105 B
0.1038 0.4903 0.1038 B
0.8962 0.5097 0.8962 B
0.3812 0.2134 0.3812 B
0.3375 0.0043 0.0043 B
0.3754 0.6842 0.2003 B
0.1038 0.1038 0.4903 B
0.8953 0.1658 0.5508 B
0.0030 0.1635 0.0030 B
0.5797 0.0961 0.3640 B
0.6246 0.3158 0.7997 B
0.4492 0.8342 0.1047 B
0.3846 0.5684 0.3846 B
0.8365 0.9970 0.9970 B
0.6861 0.1991 0.1991 B
0.0043 0.0043 0.3375 B
0.5508 0.8953 0.1658 B
0.4903 0.1038 0.1038 B
0.9957 0.9957 0.6625 B
0.3640 0.5797 0.0961 B
0.6188 0.7866 0.6188 B
0.7997 0.6246 0.3158 B
0.9957 0.6625 0.9957 B
0.3477 0.0038 0.1762 B
0.4203 0.9039 0.6360 B
0.6360 0.9039 0.4203 B
0.6154 0.6154 0.4316 B
0.0030 0.0030 0.1635 B
0.5105 0.5105 0.7788 B
0.1991 0.6861 0.1991 B
0.6246 0.7997 0.3158 B
0.1658 0.5508 0.8953 B
0.6523 0.8238 0.9962 B
0.3158 0.6246 0.7997 B
0.3477 0.1762 0.0038 B
0.6360 0.4203 0.9039 B
0.3139 0.8009 0.8009 B
0.1990 0.1990 0.5061 B
0.1658 0.8953 0.5508 B
0.8411 0.0998 0.0998 B
0.6523 0.9962 0.8238 B
0.9039 0.6360 0.4203 B
0.7997 0.3158 0.6246 B
0.4895 0.4895 0.2212 B
0.8009 0.8009 0.3139 B
0.9002 0.1589 0.9002 B
0.6842 0.2003 0.3754 B
0.4492 0.1047 0.8342 B
0.0998 0.8411 0.0998 B
0.1991 0.1991 0.6861 B
0.5684 0.3846 0.3846 B
0.8238 0.9962 0.6523 B
0.4895 0.2212 0.4895 B
0.9970 0.9970 0.8365 B
0.5508 0.1658 0.8953 B
0.0998 0.0998 0.8411 B
0.5097 0.8962 0.8962 B
0.4939 0.8010 0.8010 B
0.3812 0.3812 0.2134 B
0.7788 0.5105 0.5105 B
0.9039 0.4203 0.6360 B
0.3848 0.3848 0.3848 B
0.8953 0.5508 0.1658 B
0.6152 0.6152 0.6152 B
0.8009 0.3139 0.8009 B
```



A relaxed structure of Al2SiBr. Source: Alexandria, functional GGA-PBEsol.

Results
Energy relative to the lowest polymorph listed for this composition ... 77 meV per atom
Space-group type ... Cmmm (65)
Total moment ... 0.000 μB per atom
Formation energy (no corrections) ... 171 meV/atom

```
Al2SiBr
1.0
4.9039 0.0000 -0.0291
0.0000 3.8790 0.0000
-2.0701 0.0000 4.4466
Br Si Al
1 1 2
Direct
0.5000 0.5000 0.0000 Br
0.0000 0.5000 0.5000 Si
0.7964 0.0000 0.7036 Al
0.2036 0.0000 0.2964 Al
```



A relaxed structure of In2AgRu. Source: Alexandria, functional GGA-PBEsol.

Results
Space-group type ... R-3m (166)
Total moment ... 0.000 μB per atom
DFT formation energy ... 0.16 eV/atom

```
In2AgRu
1.0
-1.4226 2.4552 1.1500
-2.8569 0.6648 -0.8777
-4.6311 -3.9368 6.7518
Ag Ru In
1 1 2
Direct
0.0000 0.0000 0.0000 Ag
0.5000 0.5000 0.5000 Ru
0.7556 0.7556 0.7333 In
0.2444 0.2444 0.2667 In
```



A relaxed structure of KBe2Rh2. Source: Alexandria, functional GGA-PBEsol.

Results
Space-group type ... I4/mmm (139)
Total moment ... 0.000 μB per atom
DFT formation energy ... 0.26 eV/atom

```
KBe2Rh2
1.0
3.9837 0.0000 0.0000
0.0000 3.9837 0.0000
-1.9919 -1.9919 4.8101
Be Rh K
2 2 1
Direct
0.7500 0.2500 0.5000 Be
0.2500 0.7500 0.5000 Be
0.3604 0.3604 0.7208 Rh
0.6396 0.6396 0.2792 Rh
0.0000 0.0000 0.0000 K
```



A relaxed structure of Tl2RuPb. Source: Alexandria, functional GGA-PBEsol.

Results
Energy relative to the lowest polymorph listed for this composition ... 0 meV per atom
Space-group type ... P4mm (99)
Total moment ... 0.000 μB per atom
DFT formation energy ... 0.30 eV/atom

```
Tl2RuPb
1.0
3.2437 0.0000 0.0000
0.0000 3.2437 0.0000
0.0000 0.0000 8.8139
Tl Pb Ru
2 1 1
Direct
0.5000 0.5000 0.2434 Tl
0.0000 0.0000 0.9445 Tl
0.0000 0.0000 0.5614 Pb
0.5000 0.5000 0.7507 Ru
```



A relaxed structure of BeTcHg2. Source: Alexandria, functional GGA-PBEsol.

Results
Space-group type ... Cmmm (65)
Total moment ... 0.077 μB per atom
DFT formation energy ... 0.64 eV/atom

```
BeTcHg2
1.0
2.9232 0.0000 0.0000
-1.4616 2.5066 0.0000
0.0000 0.0000 8.8622
Hg Tc Be
2 1 1
Direct
0.0000 0.0000 0.2285 Hg
0.0000 0.0000 0.7715 Hg
0.5000 0.0000 0.5000 Tc
0.5000 0.0000 0.0000 Be
```



A relaxed structure of TaMn2Cr. Source: Alexandria, functional GGA-PBEsol.

Results
Space-group type ... P2/m (10)
Total moment ... 0.000 μB per atom
DFT formation energy ... 0.11 eV/atom

```
TaMn2Cr
1.0
-2.4275 0.4763 -0.9068
-0.0830 -3.4879 -1.6099
-1.0238 -2.0380 4.4681
Mn Cr Ta
2 1 1
Direct
0.2269 0.0000 0.2845 Mn
0.7731 0.0000 0.7155 Mn
0.0000 0.5000 0.5000 Cr
0.5000 0.5000 0.0000 Ta
```



A relaxed structure of KAuBr4. Source: Alexandria, functional GGA-PBEsol.

Results
Space-group type ... P2_1/c (14)
Total moment ... 0.000 μB per atom
Formation energy (no corrections) ... -702 meV/atom

```
KAuBr4
1.0
-5.7631 -1.4019 0.9578
0.9107 -6.1782 -3.5627
1.9600 -2.3973 8.2848
Br Au K
8 2 2
Direct
0.1976 0.6369 0.6734 Br
0.0221 0.2673 0.8705 Br
0.8024 0.3631 0.3266 Br
0.4779 0.7673 0.3705 Br
0.6976 0.8631 0.8266 Br
0.5221 0.2327 0.6295 Br
0.9779 0.7327 0.1295 Br
0.3024 0.1369 0.1734 Br
0.5000 0.5000 0.5000 Au
0.0000 0.0000 0.0000 Au
0.0000 0.0000 0.5000 K
0.5000 0.5000 0.0000 K
```



A relaxed structure of Sc2IrRh. Source: Alexandria, functional GGA-PBEsol.

Results
Energy relative to the lowest polymorph listed for this composition ... 0 meV per atom
Space-group type ... Fm-3m (225)
Total moment ... 0.000 μB per atom
DFT formation energy ... -1.02 eV/atom

```
Sc2IrRh
1.0
-3.6651 -1.5649 -2.0990
-3.1629 -2.2018 2.3316
-4.0071 1.9228 0.7306
Sc Rh Ir
2 1 1
Direct
0.7500 0.7500 0.7500 Sc
0.2500 0.2500 0.2500 Sc
0.0000 0.0000 0.0000 Rh
0.5000 0.5000 0.5000 Ir
```



A relaxed structure of CdIrOs2. Source: Alexandria, functional GGA-PBEsol.

Results
Space-group type ... Pmmm (47)
Total moment ... 0.005 μB per atom
DFT formation energy ... 0.74 eV/atom

```
CdIrOs2
1.0
2.8081 0.0000 0.0000
0.0000 4.6039 0.0000
0.0000 0.0000 4.7110
Os Ir Cd
2 1 1
Direct
0.0000 0.0000 0.0000 Os
0.5000 0.5000 0.0000 Os
0.0000 0.5000 0.5000 Ir
0.5000 0.0000 0.5000 Cd
```



A relaxed structure of ZrTeP2. Source: Alexandria, functional GGA-PBEsol.

Results
Energy relative to the lowest polymorph listed for this composition ... 315 meV per atom
Space-group type ... I-42d (122)
Total moment ... 0.000 μB per atom
Formation energy (no corrections) ... 136 meV/atom

```
ZrTeP2
1.0
-2.4194 4.3582 3.0572
-4.0204 -3.6970 2.0886
6.9790 -1.6640 2.3028
Zr P Te
2 4 2
Direct
0.7500 0.2500 0.5000 Zr
0.5000 0.5000 0.0000 Zr
0.6250 0.5983 0.7500 P
0.4017 0.8750 0.2500 P
0.8483 0.3750 0.2500 P
0.1250 0.1517 0.7500 P
0.2500 0.7500 0.5000 Te
0.0000 0.0000 0.0000 Te
```



A relaxed structure of RbYPd2I. Source: Alexandria, functional GGA-PBEsol.

Results
Space-group type ... P4/mmm (123)
Total moment ... 0.001 μB per atom
Formation energy (no corrections) ... 308 meV/atom

```
RbYPd2I
1.0
5.1436 0.0000 0.0000
0.0000 5.1436 0.0000
0.0000 0.0000 5.5453
Y Pd Rb I
1 2 1 1
Direct
0.0000 0.0000 0.5000 Y
0.0000 0.5000 0.0000 Pd
0.5000 0.0000 0.0000 Pd
0.5000 0.5000 0.5000 Rb
0.0000 0.0000 0.0000 I
```



A relaxed structure of LiMgCr2Rh. Source: Alexandria, functional GGA-PBEsol.

Results
Space-group type ... P4/mmm (123)
Total moment ... 1.267 μB per atom
DFT formation energy ... 0.87 eV/atom

```
LiMgCr2Rh
1.0
-1.3425 -3.7670 -2.3243
4.3292 -1.5198 -0.0375
-0.7331 -2.1863 3.9668
Cr Rh Mg Li
2 1 1 1
Direct
0.0000 0.0000 0.5000 Cr
0.0000 0.5000 0.0000 Cr
0.0000 0.0000 0.0000 Rh
0.5000 0.5000 0.5000 Mg
0.5000 0.0000 0.0000 Li
```



A relaxed structure of KAl2Co. Source: Alexandria, functional GGA-PBEsol.

Results
Energy relative to the lowest polymorph listed for this composition ... 814 meV per atom
Space-group type ... Pmmm (47)
Total moment ... 0.300 μB per atom
DFT formation energy ... 0.84 eV/atom

```
KAl2Co
1.0
2.8121 0.0000 0.0000
0.0000 5.0621 0.0000
0.0000 0.0000 5.1266
Co K Al
1 1 2
Direct
0.5000 0.5000 0.0000 Co
0.0000 0.5000 0.5000 K
0.0000 0.0000 0.0000 Al
0.5000 0.0000 0.5000 Al
```



A relaxed structure of CsGe2OsO. Source: Alexandria, functional GGA-PBEsol.

Results
Space-group type ... P4/mmm (123)
Total moment ... 0.416 μB per atom
Formation energy (no corrections) ... 3069 meV/atom

```
CsGe2OsO
1.0
-1.7685 -0.3216 -4.6348
-5.1712 -0.6320 2.0171
-0.7197 5.5389 -0.1097
Cs Ge O Os
1 2 1 1
Direct
0.0000 0.0000 0.0000 Cs
0.0000 0.0000 0.5000 Ge
0.0000 0.5000 0.0000 Ge
0.5000 0.5000 0.5000 O
0.5000 0.0000 0.0000 Os
```



A relaxed structure of KCuSn3. Source: Alexandria, functional GGA-PBEsol.

Results
Space-group type ... Pm-3m (221)
Total moment ... 0.000 μB per atom
DFT formation energy ... 1.60 eV/atom

```
KCuSn3
1.0
5.7038 0.0000 0.0000
0.0000 5.7038 0.0000
0.0000 0.0000 5.7038
K Cu Sn
1 1 3
Direct
0.0000 0.0000 0.0000 K
0.5000 0.5000 0.5000 Cu
0.0000 0.0000 0.5000 Sn
0.0000 0.5000 0.0000 Sn
0.5000 0.0000 0.0000 Sn
```



A relaxed structure of Cr2BSeCl. Source: Alexandria, functional GGA-PBEsol.

Results
Space-group type ... P4/mmm (123)
Total moment ... 1.322 μB per atom
Formation energy (no corrections) ... 1245 meV/atom

```
Cr2BSeCl
1.0
-2.1964 -2.7969 1.1584
3.6263 -2.2503 1.4423
-0.3816 1.9701 4.0332
Cl B Cr Se
1 1 2 1
Direct
0.0000 0.0000 0.0000 Cl
0.5000 0.0000 0.0000 B
0.0000 0.0000 0.5000 Cr
0.0000 0.5000 0.0000 Cr
0.5000 0.5000 0.5000 Se
```



A relaxed structure of Sr2ZnCr. Source: Alexandria, functional GGA-PBEsol.

Results
Space-group type ... P4mm (99)
Total moment ... 1.016 μB per atom
DFT formation energy ... 0.38 eV/atom

```
Sr2ZnCr
1.0
3.6439 0.0000 0.0000
0.0000 3.6439 0.0000
0.0000 0.0000 8.7763
Zn Cr Sr
1 1 2
Direct
0.0000 0.0000 0.5704 Zn
0.5000 0.5000 0.6746 Cr
0.0000 0.0000 0.9323 Sr
0.5000 0.5000 0.3227 Sr
```



A relaxed structure of PtSBrCl2. Source: Alexandria, functional GGA-PBEsol.

Results
Energy relative to the lowest polymorph listed for this composition ... 0 meV per atom
Space-group type ... P4/mmm (123)
Total moment ... 0.000 μB per atom
Formation energy (no corrections) ... 221 meV/atom

```
PtSBrCl2
1.0
4.5948 0.0000 0.0000
0.0000 4.7976 0.0000
0.0000 0.0000 4.7976
Br Pt Cl S
1 1 2 1
Direct
0.5000 0.5000 0.5000 Br
0.0000 0.0000 0.0000 Pt
0.0000 0.0000 0.5000 Cl
0.0000 0.5000 0.0000 Cl
0.5000 0.0000 0.0000 S
```



A relaxed structure of Ca2TaTc. Source: Alexandria, functional GGA-PBEsol.

Results
Energy relative to the lowest polymorph listed for this composition ... 0 meV per atom
Space-group type ... I4/mmm (139)
Total moment ... 0.000 μB per atom
DFT formation energy ... 0.66 eV/atom

```
Ca2TaTc
1.0
3.9216 0.0000 0.0000
0.0000 3.9216 0.0000
-1.9608 -1.9608 5.1806
Ta Tc Ca
1 1 2
Direct
0.5000 0.5000 0.0000 Ta
0.0000 0.0000 0.0000 Tc
0.2500 0.7500 0.5000 Ca
0.7500 0.2500 0.5000 Ca
```



A relaxed structure of TlZnCr. Source: Alexandria, functional GGA-PBEsol.

Results
Space-group type ... P3m1 (156)
Total moment ... 1.109 μB per atom
DFT formation energy ... 0.56 eV/atom

```
TlZnCr
1.0
3.1158 0.0000 0.0000
0.0000 4.4178 0.0000
0.0000 -2.2089 3.8259
Cr Zn Tl
1 1 1
Direct
0.0306 0.0000 0.0000 Cr
0.3541 0.6667 0.3333 Zn
0.6153 0.3333 0.6667 Tl
```



A relaxed structure of RbBe2GaNi. Source: Alexandria, functional GGA-PBEsol.

Results
Space-group type ... P4/mmm (123)
Total moment ... 0.000 μB per atom
DFT formation energy ... 0.35 eV/atom

```
RbBe2GaNi
1.0
-2.4299 1.1638 3.5032
-2.6796 -3.4408 -0.7156
2.5903 -2.5683 2.6499
Rb Be Ga Ni
1 2 1 1
Direct
0.5000 0.5000 0.5000 Rb
0.0000 0.5000 0.0000 Be
0.5000 0.0000 0.0000 Be
0.0000 0.0000 0.5000 Ga
0.0000 0.0000 0.0000 Ni
```